Material: NaPu2C2N6
Method: DFT, PBE-GGA
State: optimized geometry

Computed properties:
- E_form (uncorrected): -0.39 eV/atom
- E: -9.34 eV per atom

Cell: 10.0993 6.0985 5.9354 Å, 90.00 119.08 90.00°
Closest atoms and distances in Å follow each position.
Space group C2/m (No. 12)
Symmetry-distinct sites (fractional):
Na 0.0000 0.0000 0.0000  4 N 2.78, 2 C 2.91
Pu 0.1751 0.5000 0.3052  6 N 2.20-2.43
C 0.1707 0.5000 0.7616  3 N 1.36
N 0.0776 0.5000 0.8675  1 C 1.36
N 0.2172 0.3129 0.6964  1 C 1.36

---

Material: Na2CSN
Method: DFT, PBE-GGA
State: optimized geometry

Computed properties:
- E_form (uncorrected): 1.13 eV/atom
- E: -3.73 eV per atom

Cell: 4.9890 4.9890 3.4877 Å, 90.00 90.00 90.00°
Closest atoms and distances in Å follow each position.
Space group P4/mmm (No. 123)
Symmetry-distinct sites (fractional):
Na 0.0000 0.5000 0.0000  2 C 2.49
C 0.0000 0.0000 0.0000  2 S 1.74
S 0.0000 0.0000 0.5000  2 C 1.74
N 0.5000 0.5000 0.5000  8 Na 3.04

---

Material: NaCSN
Method: DFT, PBE-GGA
State: optimized geometry

Computed properties:
- E_form (uncorrected): -0.37 eV/atom
- E: -6.12 eV per atom

Cell: 13.6286 4.1037 5.6944 Å, 90.00 90.00 90.00°
Closest atoms and distances in Å follow each position.
Space group Pnma (No. 62)
Symmetry-distinct sites (fractional):
Na 0.1039 0.2500 0.0709  3 N 2.45-2.58
C 0.1169 0.7500 0.6345  1 N 1.19
S 0.1846 0.7500 0.3987  1 C 1.63
N 0.0685 0.7500 0.8087  1 C 1.19

---

Material: NaCSN2
Method: DFT, PBE-GGA
State: optimized geometry

Computed properties:
- E_form (uncorrected): 2.32 eV/atom
- E: -3.95 eV per atom

Cell: 3.4438 3.4438 7.0639 Å, 90.00 90.00 90.00°
Closest atoms and distances in Å follow each position.
Space group P4/mmm (No. 123)
Symmetry-distinct sites (fractional):
Na 0.0000 0.0000 0.0000  4 C 2.44
C 0.5000 0.5000 0.0000  4 Na 2.44
S 0.0000 0.0000 0.5000  4 N 1.72
N 0.0000 0.5000 0.5000  2 S 1.72

---

Material: NaCSN2
Method: DFT, PBE-GGA
State: optimized geometry

Computed properties:
- E_form (uncorrected): 2.01 eV/atom
- E: -4.26 eV per atom

Cell: 3.5981 3.5981 4.2616 Å, 90.00 90.00 90.00°
Closest atoms and distances in Å follow each position.
Space group P4/mmm (No. 123)
Symmetry-distinct sites (fractional):
Na 0.0000 0.0000 0.0000  4 S 2.54, 8 N 2.79
C 0.5000 0.5000 0.5000  4 N 1.80
S 0.5000 0.5000 0.0000  2 C 2.13
N 0.0000 0.5000 0.5000  2 C 1.80

---

Material: NaCSN2
Method: DFT, PBE-GGA
State: optimized geometry

Computed properties:
- E_form (uncorrected): 3.31 eV/atom
- E: -2.95 eV per atom

Cell: 4.3776 4.3776 5.3715 Å, 90.00 90.00 90.00°
Closest atoms and distances in Å follow each position.
Space group P4/mmm (No. 123)
Symmetry-distinct sites (fractional):
Na 0.0000 0.0000 0.0000  4 N 2.19
C 0.5000 0.5000 0.5000  4 S 3.10, 8 N 3.46
S 0.0000 0.0000 0.5000  2 Na 2.69
N 0.0000 0.5000 0.0000  2 Na 2.19

---

Material: Na2SbCN
Method: DFT, PBE-GGA
State: optimized geometry

Computed properties:
- E_form (uncorrected): 0.60 eV/atom
- E: -4.26 eV per atom

Cell: 5.8065 5.8065 2.6666 Å, 90.00 90.00 90.00°
Closest atoms and distances in Å follow each position.
Space group P4/mmm (No. 123)
Symmetry-distinct sites (fractional):
Na 0.0000 0.5000 0.0000  2 Na 2.67, 2 C 2.90
Sb 0.0000 0.0000 0.5000  2 Sb 2.67
C 0.5000 0.5000 0.0000  2 N 1.33
N 0.5000 0.5000 0.5000  2 C 1.33

---

Material: NaCSeN2
Method: DFT, PBE-GGA
State: optimized geometry

Computed properties:
- E_form (uncorrected): 2.07 eV/atom
- E: -4.07 eV per atom

Cell: 3.7001 3.7001 4.4177 Å, 90.00 90.00 90.00°
Closest atoms and distances in Å follow each position.
Space group P4/mmm (No. 123)
Symmetry-distinct sites (fractional):
Na 0.0000 0.0000 0.0000  4 Se 2.62, 8 N 2.88
C 0.5000 0.5000 0.5000  4 N 1.85
Se 0.5000 0.5000 0.0000  2 C 2.21
N 0.0000 0.5000 0.5000  2 C 1.85

---

Material: NaCSe2N
Method: DFT, PBE-GGA
State: optimized geometry

Computed properties:
- E_form (uncorrected): 0.31 eV/atom
- E: -4.86 eV per atom

Cell: 6.0336 6.0336 2.5114 Å, 90.00 90.00 90.00°
Closest atoms and distances in Å follow each position.
Space group P4/mmm (No. 123)
Symmetry-distinct sites (fractional):
Na 0.0000 0.0000 0.0000  2 Na 2.51
C 0.5000 0.5000 0.5000  2 N 1.26
Se 0.0000 0.5000 0.5000  2 Se 2.51
N 0.5000 0.5000 0.0000  2 C 1.26

---

Material: NaCSe2N
Method: DFT, PBE-GGA
State: optimized geometry

Computed properties:
- E_form (uncorrected): 2.62 eV/atom
- E: -2.54 eV per atom

Cell: 5.3515 5.3515 4.3774 Å, 90.00 90.00 90.00°
Closest atoms and distances in Å follow each position.
Space group P4/mmm (No. 123)
Symmetry-distinct sites (fractional):
Na 0.0000 0.0000 0.0000  2 N 2.19
C 0.5000 0.5000 0.5000  8 Se 3.46, 4 N 3.78
Se 0.0000 0.5000 0.0000  2 Na 2.68
N 0.0000 0.0000 0.5000  2 Na 2.19

---

Material: NaCSeN2
Method: DFT, PBE-GGA
State: optimized geometry

Computed properties:
- E_form (uncorrected): 3.19 eV/atom
- E: -2.95 eV per atom

Cell: 4.3121 4.3121 5.6839 Å, 90.00 90.00 90.00°
Closest atoms and distances in Å follow each position.
Space group P4/mmm (No. 123)
Symmetry-distinct sites (fractional):
Na 0.0000 0.0000 0.0000  4 N 2.16
C 0.5000 0.5000 0.5000  4 Se 3.05
Se 0.0000 0.0000 0.5000  2 Na 2.84, 4 C 3.05
N 0.0000 0.5000 0.0000  2 Na 2.16

---

Material: NaSmCN2
Method: DFT, PBE-GGA
State: optimized geometry

Computed properties:
- E_form (uncorrected): -0.38 eV/atom
- E: -6.76 eV per atom

Cell: 6.6703 5.5798 7.4764 Å, 90.00 123.68 90.00°
Closest atoms and distances in Å follow each position.
Space group P2/c (No. 13)
Symmetry-distinct sites (fractional):
Na 0.0000 0.2499 0.2500  2 N 2.61
Sm 0.5000 0.0009 0.7500  4 N 2.44
C 0.5000 0.5000 0.0000  2 N 1.24
N 0.4691 0.2808 0.4842  1 C 1.24